A | Compound: V2PtF
Source: Alexandria
Functional: PBE with a Hubbard U
Structure: optimized geometry

Lattice parameters (Å, degrees): 6.3288 6.3288 6.5457 90.00 90.00 90.00
Last column: nearest neighbours and their distance in Å.
Space group I-42d (No. 122)
Inequivalent atoms, fractional coordinates:
V1 0.1887 0.2500 0.1250 x8  2 F 2.14
Pt1 0.0000 0.0000 0.5000 x4  4 V 2.66
F1 0.0000 0.0000 0.0000 x4  4 V 2.14

---

B | Compound: V2PtF
Source: Alexandria
Functional: PBE with a Hubbard U
Structure: optimized geometry

Lattice parameters (Å, degrees): 6.2911 6.2911 6.2911 90.00 90.00 90.00
Last column: nearest neighbours and their distance in Å.
Space group Fm-3m (No. 225)
Inequivalent atoms, fractional coordinates:
V1 0.2500 0.2500 0.2500 x8  4 Pt 2.72, 4 F 2.72
Pt1 0.0000 0.0000 0.0000 x4  8 V 2.72
F1 0.0000 0.0000 0.5000 x4  8 V 2.72

---

Least stable structure: B

---

A | Compound: Pt3WF
Source: Alexandria
Functional: PBE with a Hubbard U
Structure: optimized geometry

Lattice parameters (Å, degrees): 4.3738 4.3738 4.3738 90.00 90.00 90.00
Last column: nearest neighbours and their distance in Å.
Space group Pm-3m (No. 221)
Inequivalent atoms, fractional coordinates:
Pt1 0.0000 0.0000 0.5000 x3  2 F 2.19
W1 0.5000 0.5000 0.5000 x1  12 Pt 3.09
F1 0.0000 0.0000 0.0000 x1  6 Pt 2.19

---

B | Compound: Pt3WF
Source: Alexandria
Functional: PBE with a Hubbard U
Structure: optimized geometry

Lattice parameters (Å, degrees): 4.8887 4.8887 4.8887 90.00 90.00 90.00
Last column: nearest neighbours and their distance in Å.
Space group Pm-3m (No. 221)
Inequivalent atoms, fractional coordinates:
Pt1 0.0000 0.0000 0.5000 x3  2 W 2.44
W1 0.0000 0.0000 0.0000 x1  6 Pt 2.44
F1 0.5000 0.5000 0.5000 x1  12 Pt 3.46

---

Least stable structure: B

---

A | Compound: PtWF3
Source: Alexandria
Functional: PBE with a Hubbard U
Structure: optimized geometry

Lattice parameters (Å, degrees): 4.3555 4.3555 4.3555 90.00 90.00 90.00
Last column: nearest neighbours and their distance in Å.
Space group Pm-3m (No. 221)
Inequivalent atoms, fractional coordinates:
Pt1 0.0000 0.0000 0.0000 x1  6 F 2.18
W1 0.5000 0.5000 0.5000 x1  12 F 3.08
F1 0.0000 0.0000 0.5000 x3  2 Pt 2.18

---

B | Compound: PtWF3
Source: Alexandria
Functional: PBE with a Hubbard U
Structure: optimized geometry

Lattice parameters (Å, degrees): 4.2775 4.2775 4.2775 90.00 90.00 90.00
Last column: nearest neighbours and their distance in Å.
Space group Pm-3m (No. 221)
Inequivalent atoms, fractional coordinates:
Pt1 0.0000 0.0000 0.0000 x1  12 F 3.02
W1 0.5000 0.5000 0.5000 x1  6 F 2.14
F1 0.0000 0.5000 0.5000 x3  2 W 2.14

---

Least stable structure: A